(1)
Entry from Alexandria via LeMat-Bulk: a geometry-optimized ZnAs2P structure (PBE-GGA).

a b c (Å): 4.6785 4.6785 4.6785
angles (deg): 122.09 122.09 86.41
Closest atoms and distances in Å follow each position.
Atoms (fractional coordinates):
Zn 0.0000 0.0000 0.0000  4 As 2.83, 4 P 2.83
As 0.2500 0.7500 0.5000  4 As 2.83, 4 Zn 2.83
As 0.5000 0.5000 0.0000  4 As 2.83, 4 P 2.83
P 0.7500 0.2500 0.5000  4 As 2.83, 4 Zn 2.83

Calculated values
energy above the lowest structure with this stoichiometry	1.54	eV per formula unit
DOS at the Fermi energy	0.3671	states/eV per atom
SG	No. 119
DFT formation energy	0.449	eV/atom

(2)
Entry from Alexandria via LeMat-Bulk: a geometry-optimized ZnAs2P structure (PBE-GGA).

a b c (Å): 7.1144 7.1144 7.1144
angles (deg): 152.97 152.73 38.78
Closest atoms and distances in Å follow each position.
Atoms (fractional coordinates):
Zn 0.0000 0.0000 0.0000  6 As 2.73-2.77
As 0.3399 0.8399 0.5000  4 P 2.64, 2 Zn 2.73
As 0.6074 0.6074 0.0000  2 P 2.55, 4 Zn 2.77
P 0.7518 0.2518 0.5000  6 As 2.55-2.64

Calculated values
energy above the lowest structure with this stoichiometry	0.99	eV per formula unit
DOS at the Fermi energy	0.4867	states/eV per atom
SG	No. 44
DFT formation energy	0.312	eV/atom